Record 1
VASP calculation (PBE) on a relaxed DyGe2Se6 crystal.

Geometry as CIF:
```
data_DyGe2Se6
_symmetry_space_group_name_H-M 'P 1'
_symmetry_Int_Tables_number 1
_cell_length_a 6.654
_cell_length_b 8.705
_cell_length_c 8.705
_cell_angle_alpha 88.13
_cell_angle_beta 83.46
_cell_angle_gamma 83.46
loop_
_symmetry_equiv_pos_as_xyz
'x,y,z'
loop_
_atom_site_label
_atom_site_type_symbol
_atom_site_fract_x
_atom_site_fract_y
_atom_site_fract_z
_atom_site_occupancy
Se1 Se 0.877 0.535 0.722 1
Se2 Se 0.586 0.597 0.146 1
Se3 Se 0.838 0.201 0.024 1
Se4 Se 0.338 0.024 0.201 1
Se5 Se 0.086 0.146 0.597 1
Se6 Se 0.162 0.799 0.976 1
Se7 Se 0.914 0.854 0.403 1
Se8 Se 0.623 0.278 0.465 1
Se9 Se 0.414 0.403 0.854 1
Se10 Se 0.377 0.722 0.535 1
Se11 Se 0.123 0.465 0.278 1
Se12 Se 0.662 0.976 0.799 1
Ge1 Ge 0.200 0.618 0.769 1
Ge2 Ge 0.300 0.231 0.382 1
Ge3 Ge 0.800 0.382 0.231 1
Ge4 Ge 0.700 0.769 0.618 1
Dy1 Dy 0.750 0.887 0.113 1
Dy2 Dy 0.250 0.113 0.887 1
```

Output
- Total moment: 0.0 Bohr magnetons per cell
- DOS at the Fermi energy: 10.61 states/eV per cell
- Formation energy from raw total energies: -0.5537 eV/atom
- Final energy: -4.414 eV per atom



Record 2
VASP calculation (PBE) on a relaxed K2MgW crystal.

Geometry as CIF:
```
data_K2MgW
_symmetry_space_group_name_H-M 'P 1'
_symmetry_Int_Tables_number 1
_cell_length_a 2.886
_cell_length_b 4.719
_cell_length_c 10.090
_cell_angle_alpha 90.00
_cell_angle_beta 90.00
_cell_angle_gamma 90.00
loop_
_symmetry_equiv_pos_as_xyz
'x,y,z'
loop_
_atom_site_label
_atom_site_type_symbol
_atom_site_fract_x
_atom_site_fract_y
_atom_site_fract_z
_atom_site_occupancy
K1 K 0.500 0.500 0.326 1
K2 K 0.000 0.000 0.923 1
W1 W 0.500 0.500 0.669 1
Mg1 Mg 0.000 0.000 0.582 1
```

Output
- Total moment: 1.7 Bohr magnetons per cell
- DOS at the Fermi energy: 3.48 states/eV per cell
- Final energy: -3.135 eV per atom
- E_form: 1.05 eV/atom



Record 3
VASP calculation (PBE) on a relaxed TeAs crystal.

Geometry as CIF:
```
data_TeAs
_symmetry_space_group_name_H-M 'P 1'
_symmetry_Int_Tables_number 1
_cell_length_a 7.328
_cell_length_b 7.328
_cell_length_c 7.328
_cell_angle_alpha 33.06
_cell_angle_beta 33.06
_cell_angle_gamma 33.06
loop_
_symmetry_equiv_pos_as_xyz
'x,y,z'
loop_
_atom_site_label
_atom_site_type_symbol
_atom_site_fract_x
_atom_site_fract_y
_atom_site_fract_z
_atom_site_occupancy
Te1 Te 0.258 0.258 0.258 1
Te2 Te 0.492 0.492 0.492 1
As1 As 0.008 0.008 0.008 1
As2 As 0.742 0.742 0.742 1
```

Output
- Total moment: 0.0 Bohr magnetons per cell
- DOS at the Fermi energy: 2.11 states/eV per cell
- Formation energy from raw total energies: 0.1013 eV/atom
- Final energy: -3.794 eV per atom